A plane-wave DFT calculation with PBE+U was carried out for a relaxed structure of CoO3.

Properties
Total energy ... -62.35 eV/cell
Symmetry ... Fm-3m (225)
Crystal system ... cubic

Cell: 5.1308 5.1308 5.1308 Å, 90.00 90.00 90.00°
Last column: nearest neighbours and their distance in Å.
Positions (direct):
1 Co 0.0000 0.0000 0.0000  8 O 2.22
2 Co 0.0000 0.5000 0.5000  8 O 2.22
3 Co 0.5000 0.0000 0.5000  8 O 2.22
4 Co 0.5000 0.5000 0.0000  8 O 2.22
5 O 0.0000 0.0000 0.5000  8 O 2.22
6 O 0.0000 0.5000 0.0000  8 O 2.22
7 O 0.2500 0.2500 0.2500  4 O 2.22, 4 Co 2.22
8 O 0.2500 0.2500 0.7500  4 O 2.22, 4 Co 2.22
9 O 0.2500 0.7500 0.2500  4 O 2.22, 4 Co 2.22
10 O 0.2500 0.7500 0.7500  4 O 2.22, 4 Co 2.22
11 O 0.5000 0.0000 0.0000  8 O 2.22
12 O 0.5000 0.5000 0.5000  8 O 2.22
13 O 0.7500 0.2500 0.2500  4 O 2.22, 4 Co 2.22
14 O 0.7500 0.2500 0.7500  4 O 2.22, 4 Co 2.22
15 O 0.7500 0.7500 0.2500  4 O 2.22, 4 Co 2.22
16 O 0.7500 0.7500 0.7500  4 Co 2.22, 4 O 2.22

=====

A plane-wave DFT calculation with PBE+U was carried out for a relaxed structure of CoO2.

Properties
Total energy ... -63.11 eV/cell
Symmetry ... Fm-3m (225)
Crystal system ... cubic

Cell: 4.6906 4.6906 4.6906 Å, 90.00 90.00 90.00°
Last column: nearest neighbours and their distance in Å.
Positions (direct):
1 Co 0.0000 0.0000 0.0000  8 O 2.03
2 Co 0.0000 0.5000 0.5000  8 O 2.03
3 Co 0.5000 0.0000 0.5000  8 O 2.03
4 Co 0.5000 0.5000 0.0000  8 O 2.03
5 O 0.2500 0.2500 0.2500  4 Co 2.03
6 O 0.2500 0.2500 0.7500  4 Co 2.03
7 O 0.2500 0.7500 0.2500  4 Co 2.03
8 O 0.2500 0.7500 0.7500  4 Co 2.03
9 O 0.7500 0.2500 0.2500  4 Co 2.03
10 O 0.7500 0.2500 0.7500  4 Co 2.03
11 O 0.7500 0.7500 0.2500  4 Co 2.03
12 O 0.7500 0.7500 0.7500  4 Co 2.03

=====

A plane-wave DFT calculation with PBE+U was carried out for a relaxed structure of Co2O3.

Properties
Total energy ... -117.62 eV/cell
Symmetry ... C2/c (15)
Crystal system ... monoclinic

Cell: 6.2807 6.2807 5.0066 Å, 95.37 95.37 84.16°
Last column: nearest neighbours and their distance in Å.
Positions (direct):
1 Co 0.0858 0.9142 0.7500  6 O 1.87-1.94
2 Co 0.2089 0.4168 0.6933  4 O 1.80-1.93
3 Co 0.2558 0.7442 0.2500  6 O 1.88-1.92
4 Co 0.4168 0.2089 0.1933  4 O 1.80-1.93
5 Co 0.5832 0.7911 0.8067  4 O 1.80-1.93
6 Co 0.7442 0.2558 0.7500  6 O 1.88-1.92
7 Co 0.7911 0.5832 0.3067  4 O 1.80-1.93
8 Co 0.9142 0.0858 0.2500  6 O 1.87-1.94
9 O 0.0200 0.1909 0.6086  4 Co 1.92-1.94
10 O 0.1300 0.6533 0.9071  3 Co 1.80-1.88
11 O 0.1909 0.0200 0.1086  4 Co 1.92-1.94
12 O 0.2824 0.4645 0.3618  3 Co 1.82-1.90
13 O 0.3467 0.8700 0.5929  3 Co 1.80-1.88
14 O 0.4645 0.2824 0.8618  3 Co 1.82-1.90
15 O 0.5355 0.7176 0.1382  3 Co 1.82-1.90
16 O 0.6533 0.1300 0.4071  3 Co 1.80-1.88
17 O 0.7176 0.5355 0.6382  3 Co 1.82-1.90
18 O 0.8091 0.9800 0.8914  4 Co 1.92-1.94
19 O 0.8700 0.3467 0.0929  3 Co 1.80-1.88
20 O 0.9800 0.8091 0.3914  4 Co 1.92-1.94

=====

A plane-wave DFT calculation with PBE+U was carried out for a relaxed structure of CoO3.

Properties
Total energy ... -35.62 eV/cell
Symmetry ... I4/mmm (139)
Crystal system ... tetragonal

Cell: 2.7409 2.7409 9.0064 Å, 90.00 90.00 90.00°
Last column: nearest neighbours and their distance in Å.
Positions (direct):
1 Co 0.0000 0.0000 0.0000  4 O 1.94
2 Co 0.5000 0.5000 0.5000  4 O 1.94
3 O 0.0000 0.0000 0.5000  4 Co 1.94
4 O 0.0000 0.5000 0.2500  4 O 1.94
5 O 0.0000 0.5000 0.7500  4 O 1.94
6 O 0.5000 0.0000 0.2500  4 O 1.94
7 O 0.5000 0.0000 0.7500  4 O 1.94
8 O 0.5000 0.5000 0.0000  4 Co 1.94

=====

A plane-wave DFT calculation with PBE+U was carried out for a relaxed structure of CoO.

Properties
Total energy ... -92.02 eV/cell
Symmetry ... Cmce (64)
Crystal system ... orthorhombic

Cell: 5.6359 5.5981 6.6520 Å, 90.00 90.00 90.00°
Last column: nearest neighbours and their distance in Å.
Positions (direct):
1 Co 0.0000 0.2397 0.2348  4 O 1.99
2 Co 0.0000 0.2603 0.7348  4 O 1.99
3 Co 0.0000 0.7397 0.2652  4 O 1.99
4 Co 0.0000 0.7603 0.7652  4 O 1.99
5 Co 0.5000 0.2397 0.2652  4 O 1.99
6 Co 0.5000 0.2603 0.7652  4 O 1.99
7 Co 0.5000 0.7397 0.2348  4 O 1.99
8 Co 0.5000 0.7603 0.7348  4 O 1.99
9 O 0.2500 0.0106 0.7500  4 Co 1.99
10 O 0.2500 0.4894 0.2500  4 Co 1.99
11 O 0.2500 0.5106 0.7500  4 Co 1.99
12 O 0.2500 0.9894 0.2500  4 Co 1.99
13 O 0.7500 0.0106 0.7500  4 Co 1.99
14 O 0.7500 0.4894 0.2500  4 Co 1.99
15 O 0.7500 0.5106 0.7500  4 Co 1.99
16 O 0.7500 0.9894 0.2500  4 Co 1.99

=====

A plane-wave DFT calculation with PBE+U was carried out for a relaxed structure of CoO.

Properties
Total energy ... -23.63 eV/cell
Symmetry ... P6_3/mmc (194)
Crystal system ... hexagonal

Cell: 2.9306 2.9306 5.2151 Å, 90.00 90.00 120.00°
Last column: nearest neighbours and their distance in Å.
Positions (direct):
1 Co 0.0000 0.0000 0.0000  6 O 2.14
2 Co 0.0000 0.0000 0.5000  6 O 2.14
3 O 0.3333 0.6667 0.2500  6 Co 2.14
4 O 0.6667 0.3333 0.7500  6 Co 2.14

=====

A plane-wave DFT calculation with PBE+U was carried out for a relaxed structure of CoO.

Properties
Total energy ... -11.65 eV/cell
Symmetry ... Pm (6)
Crystal system ... monoclinic

Cell: 2.8488 2.6920 2.8804 Å, 90.00 119.32 90.00°
Last column: nearest neighbours and their distance in Å.
Positions (direct):
1 Co 0.0000 0.0000 0.0000  6 O 2.10-2.17
2 O 0.3259 0.5000 0.6402  6 Co 2.10-2.17

=====

A plane-wave DFT calculation with PBE+U was carried out for a relaxed structure of Co2O3.

Properties
Total energy ... -57.76 eV/cell
Symmetry ... Fdd2 (43)
Crystal system ... orthorhombic

Cell: 6.5666 5.0279 7.9869 Å, 55.10 38.90 86.00°
Last column: nearest neighbours and their distance in Å.
Positions (direct):
1 Co 0.0815 0.9185 0.3172  4 O 1.83-1.96
2 Co 0.5672 0.9328 0.3315  4 O 1.83-1.96
3 Co 0.9185 0.0815 0.6828  4 O 1.83-1.96
4 Co 0.9328 0.5672 0.1685  4 O 1.83-1.96
5 O 0.1303 0.1303 0.8697  2 Co 1.83
6 O 0.3803 0.3803 0.1197  2 Co 1.83
7 O 0.3853 0.7614 0.2734  3 Co 1.87-1.96
8 O 0.6701 0.9766 0.4886  3 Co 1.87-1.96
9 O 0.7614 0.3853 0.5799  3 Co 1.87-1.96
10 O 0.9766 0.6701 0.8647  3 Co 1.87-1.96

=====

A plane-wave DFT calculation with PBE+U was carried out for a relaxed structure of CoO2.

Properties
Total energy ... -68.07 eV/cell
Symmetry ... Pbcn (60)
Crystal system ... orthorhombic

Cell: 4.0203 5.2527 4.7690 Å, 90.00 90.00 90.00°
Last column: nearest neighbours and their distance in Å.
Positions (direct):
1 Co 0.0000 0.1397 0.2500  6 O 1.84-1.86
2 Co 0.0000 0.8603 0.7500  6 O 1.84-1.86
3 Co 0.5000 0.3603 0.7500  6 O 1.84-1.86
4 Co 0.5000 0.6397 0.2500  6 O 1.84-1.86
5 O 0.2479 0.1099 0.5774  3 Co 1.84-1.86
6 O 0.2479 0.8901 0.0774  3 Co 1.84-1.86
7 O 0.2521 0.3901 0.0774  3 Co 1.84-1.86
8 O 0.2521 0.6099 0.5774  3 Co 1.84-1.86
9 O 0.7479 0.3901 0.4226  3 Co 1.84-1.86
10 O 0.7479 0.6099 0.9226  3 Co 1.84-1.86
11 O 0.7521 0.1099 0.9226  3 Co 1.84-1.86
12 O 0.7521 0.8901 0.4226  3 Co 1.84-1.86

=====

A plane-wave DFT calculation with PBE+U was carried out for a relaxed structure of CoO2.

Properties
Total energy ... -16.88 eV/cell
Symmetry ... P-3m1 (164)
Crystal system ... trigonal

Cell: 2.8094 2.8094 4.2053 Å, 90.00 90.00 120.00°
Last column: nearest neighbours and their distance in Å.
Positions (direct):
1 Co 0.0000 0.0000 0.0000  6 O 1.88
2 O 0.3333 0.6667 0.2249  3 Co 1.88
3 O 0.6667 0.3333 0.7751  3 Co 1.88

=====

A plane-wave DFT calculation with PBE+U was carried out for a relaxed structure of Co2O3.

Properties
Total energy ... -58.77 eV/cell
Symmetry ... C2/m (12)
Crystal system ... monoclinic

Cell: 6.0137 6.0137 5.8373 Å, 103.89 103.89 27.99°
Last column: nearest neighbours and their distance in Å.
Positions (direct):
1 Co 0.1031 0.1031 0.3145  4 O 1.83-1.89
2 Co 0.3377 0.3377 0.1692  6 O 1.85-1.92
3 Co 0.6623 0.6623 0.8308  6 O 1.85-1.92
4 Co 0.8969 0.8969 0.6855  4 O 1.83-1.89
5 O 0.1695 0.1695 0.0496  4 Co 1.89-1.92
6 O 0.1780 0.1780 0.6297  3 Co 1.83-1.91
7 O 0.4986 0.4986 0.7442  3 Co 1.85
8 O 0.5014 0.5014 0.2558  3 Co 1.85
9 O 0.8220 0.8220 0.3703  3 Co 1.83-1.91
10 O 0.8305 0.8305 0.9504  4 Co 1.89-1.92

=====

A plane-wave DFT calculation with PBE+U was carried out for a relaxed structure of CoO2.

Properties
Total energy ... -23.15 eV/cell
Symmetry ... Fd-3m (227)
Crystal system ... cubic

Cell: 4.2557 4.2557 4.2557 Å, 60.00 60.00 60.00°
Last column: nearest neighbours and their distance in Å.
Positions (direct):
1 Co 0.1250 0.1250 0.1250  12 O 2.50, 4 Co 2.61
2 Co 0.8750 0.8750 0.8750  12 O 2.50, 4 Co 2.61
3 O 0.0000 0.5000 0.5000  6 O 2.13
4 O 0.5000 0.0000 0.5000  6 O 2.13
5 O 0.5000 0.5000 0.0000  6 O 2.13
6 O 0.5000 0.5000 0.5000  6 O 2.13

=====

A plane-wave DFT calculation with PBE+U was carried out for a relaxed structure of Co2O3.

Properties
Total energy ... -28.54 eV/cell
Symmetry ... P-3m1 (164)
Crystal system ... trigonal

Cell: 2.9655 2.9655 6.1922 Å, 90.00 90.00 120.00°
Last column: nearest neighbours and their distance in Å.
Positions (direct):
1 Co 0.3333 0.6667 0.2074  3 O 1.88
2 Co 0.6667 0.3333 0.7926  3 O 1.88
3 O 0.0000 0.0000 0.0000  6 Co 2.14
4 O 0.3333 0.6667 0.6666  3 Co 1.88
5 O 0.6667 0.3333 0.3334  3 Co 1.88

=====

A plane-wave DFT calculation with PBE+U was carried out for a relaxed structure of Co4O5.

Properties
Total energy ... -49.26 eV/cell
Symmetry ... P4/mmm (123)
Crystal system ... tetragonal

Cell: 3.6157 3.6157 7.1004 Å, 90.00 90.00 90.00°
Last column: nearest neighbours and their distance in Å.
Positions (direct):
1 Co 0.0000 0.0000 0.0000  8 O 2.24
2 Co 0.0000 0.0000 0.5000  12 O 2.56-2.86
3 Co 0.5000 0.5000 0.2295  5 O 1.83-1.92
4 Co 0.5000 0.5000 0.7705  5 O 1.83-1.92
5 O 0.0000 0.5000 0.1873  2 Co 1.83
6 O 0.0000 0.5000 0.8127  2 Co 1.83
7 O 0.5000 0.0000 0.1873  2 Co 1.83
8 O 0.5000 0.0000 0.8127  2 Co 1.83
9 O 0.5000 0.5000 0.5000  2 Co 1.92

=====

A plane-wave DFT calculation with PBE+U was carried out for a relaxed structure of Co2O3.

Properties
Total energy ... -55.66 eV/cell
Symmetry ... Pn-3m (224)
Crystal system ... cubic

Cell: 4.4652 4.4652 4.4652 Å, 90.00 90.00 90.00°
Last column: nearest neighbours and their distance in Å.
Positions (direct):
1 Co 0.0000 0.0000 0.0000  6 O 1.93
2 Co 0.0000 0.5000 0.5000  6 O 1.93
3 Co 0.5000 0.0000 0.5000  6 O 1.93
4 Co 0.5000 0.5000 0.0000  6 O 1.93
5 O 0.2500 0.2500 0.7500  4 Co 1.93
6 O 0.2500 0.7500 0.2500  4 Co 1.93
7 O 0.2500 0.7500 0.7500  4 Co 1.93
8 O 0.7500 0.2500 0.2500  4 Co 1.93
9 O 0.7500 0.2500 0.7500  4 Co 1.93
10 O 0.7500 0.7500 0.2500  4 Co 1.93

=====

A plane-wave DFT calculation with PBE+U was carried out for a relaxed structure of CoO3.

Properties
Total energy ... -79.40 eV/cell
Symmetry ... C2 (5)
Crystal system ... monoclinic

Cell: 4.6887 7.9839 4.6357 Å, 90.00 113.44 90.00°
Last column: nearest neighbours and their distance in Å.
Positions (direct):
1 Co 0.0000 0.0000 0.0000  6 O 1.79-1.83
2 Co 0.0000 0.1843 0.5000  6 O 1.80-1.83
3 Co 0.5000 0.5000 0.0000  6 O 1.79-1.83
4 Co 0.5000 0.6843 0.5000  6 O 1.80-1.83
5 O 0.2254 0.0214 0.7581  2 Co 1.80-1.83
6 O 0.2267 0.1634 0.2581  2 Co 1.80-1.83
7 O 0.2474 0.3431 0.7506  2 Co 1.79-1.80
8 O 0.2526 0.8431 0.2494  2 Co 1.79-1.80
9 O 0.2733 0.6634 0.7419  2 Co 1.80-1.83
10 O 0.2746 0.5214 0.2419  2 Co 1.80-1.83
11 O 0.7254 0.5214 0.7581  2 Co 1.80-1.83
12 O 0.7267 0.6634 0.2581  2 Co 1.80-1.83
13 O 0.7474 0.8431 0.7506  2 Co 1.79-1.80
14 O 0.7526 0.3431 0.2494  2 Co 1.79-1.80
15 O 0.7733 0.1634 0.7419  2 Co 1.80-1.83
16 O 0.7746 0.0214 0.2419  2 Co 1.80-1.83

=====

A plane-wave DFT calculation with PBE+U was carried out for a relaxed structure of CoO.

Properties
Total energy ... -23.65 eV/cell
Symmetry ... P6_3/mmc (194)
Crystal system ... hexagonal

Cell: 3.4592 3.4592 4.3599 Å, 90.00 90.00 120.00°
Last column: nearest neighbours and their distance in Å.
Positions (direct):
1 Co 0.3333 0.6667 0.2500  5 O 2.00-2.18
2 Co 0.6667 0.3333 0.7500  5 O 2.00-2.18
3 O 0.3333 0.6667 0.7500  5 Co 2.00-2.18
4 O 0.6667 0.3333 0.2500  5 Co 2.00-2.18

=====

A plane-wave DFT calculation with PBE+U was carried out for a relaxed structure of CoO3.

Properties
Total energy ... -79.97 eV/cell
Symmetry ... C2 (5)
Crystal system ... monoclinic

Cell: 4.7552 4.7552 8.4273 Å, 94.42 94.42 120.08°
Last column: nearest neighbours and their distance in Å.
Positions (direct):
1 Co 0.0000 0.0000 0.0000  6 O 1.81-1.82
2 Co 0.1671 0.8329 0.5000  6 O 1.81-1.82
3 Co 0.6669 0.3331 0.0000  6 O 1.81-1.82
4 Co 0.8341 0.1659 0.5000  6 O 1.81-1.82
5 O 0.0121 0.6987 0.1153  2 Co 1.81
6 O 0.1138 0.1136 0.3844  2 Co 1.81-1.82
7 O 0.1780 0.5317 0.6157  2 Co 1.81
8 O 0.3013 0.9879 0.8847  2 Co 1.81
9 O 0.3669 0.3463 0.1149  2 Co 1.81-1.82
10 O 0.4683 0.8220 0.3843  2 Co 1.81
11 O 0.5317 0.1768 0.6156  2 Co 1.81-1.82
12 O 0.6537 0.6331 0.8851  2 Co 1.81-1.82
13 O 0.7242 0.0562 0.1169  2 Co 1.81-1.82
14 O 0.8232 0.4683 0.3844  2 Co 1.81-1.82
15 O 0.8864 0.8862 0.6156  2 Co 1.81-1.82
16 O 0.9438 0.2758 0.8831  2 Co 1.81-1.82

=====

A plane-wave DFT calculation with PBE+U was carried out for a relaxed structure of CoO3.

Properties
Total energy ... -37.61 eV/cell
Symmetry ... P6_3/mmc (194)
Crystal system ... hexagonal

Cell: 5.9910 5.9910 2.5496 Å, 90.00 90.00 120.00°
Last column: nearest neighbours and their distance in Å.
Positions (direct):
1 Co 0.3333 0.6667 0.2500  6 O 1.83
2 Co 0.6667 0.3333 0.7500  6 O 1.83
3 O 0.2065 0.4131 0.7500  2 Co 1.83
4 O 0.2065 0.7935 0.7500  2 Co 1.83
5 O 0.4131 0.2065 0.2500  2 Co 1.83
6 O 0.5869 0.7935 0.7500  2 Co 1.83
7 O 0.7935 0.2065 0.2500  2 Co 1.83
8 O 0.7935 0.5869 0.2500  2 Co 1.83

=====

A plane-wave DFT calculation with PBE+U was carried out for a relaxed structure of CoO3.

Properties
Total energy ... -80.06 eV/cell
Symmetry ... C2/m (12)
Crystal system ... monoclinic

Cell: 4.7549 8.2648 4.5614 Å, 90.00 112.36 90.00°
Last column: nearest neighbours and their distance in Å.
Positions (direct):
1 Co 0.0000 0.1657 0.0000  6 O 1.81-1.82
2 Co 0.0000 0.8343 0.0000  6 O 1.81-1.82
3 Co 0.5000 0.3343 0.0000  6 O 1.81-1.82
4 Co 0.5000 0.6657 0.0000  6 O 1.81-1.82
5 O 0.2254 0.0000 0.2344  2 Co 1.82
6 O 0.2415 0.1779 0.7729  2 Co 1.81-1.82
7 O 0.2415 0.8221 0.7729  2 Co 1.81-1.82
8 O 0.2585 0.3221 0.2271  2 Co 1.81-1.82
9 O 0.2585 0.6779 0.2271  2 Co 1.81-1.82
10 O 0.2746 0.5000 0.7656  2 Co 1.82
11 O 0.7254 0.5000 0.2344  2 Co 1.82
12 O 0.7415 0.3221 0.7729  2 Co 1.81-1.82
13 O 0.7415 0.6779 0.7729  2 Co 1.81-1.82
14 O 0.7585 0.1779 0.2271  2 Co 1.81-1.82
15 O 0.7585 0.8221 0.2271  2 Co 1.81-1.82
16 O 0.7746 0.0000 0.7656  2 Co 1.82